Entry 1:
! Pm3ErPu2Se6, optimized geometry, DFT PBE; values from VASP
! Raw formation energy (eV/atom): -1.730
&SYSTEM
  ibrav = 0, nat = 12, ntyp = 4
/
ATOMIC_SPECIES
Pm 145.00 Pm.upf
Er 167.26 Er.upf
Pu 244.00 Pu.upf
Se 78.96 Se.upf
CELL_PARAMETERS angstrom
3.583 -6.209 0.000
3.583 6.209 0.000
-2.389 0.000 6.825
ATOMIC_POSITIONS crystal
Pm 0.000 0.000 0.000
Pm 0.331 0.669 0.000
Pm 0.669 0.331 0.000
Er 0.500 0.500 0.500
Pu 0.166 0.834 0.500
Pu 0.834 0.166 0.500
Se 0.091 0.420 0.259
Se 0.253 0.253 0.744
Se 0.420 0.091 0.259
Se 0.580 0.909 0.741
Se 0.747 0.747 0.256
Se 0.909 0.580 0.741

---

Entry 2:
The following is a DFT calculation (PBE) of a relaxed structure of LiLaCeOs. Values from VASP.

```
&SYSTEM
  ibrav = 0, nat = 16, ntyp = 4
/
ATOMIC_SPECIES
Li 6.94 Li.upf
La 138.91 La.upf
Ce 140.12 Ce.upf
Os 190.23 Os.upf
CELL_PARAMETERS angstrom
7.148 0.000 0.000
0.000 7.148 0.000
0.000 0.000 7.148
ATOMIC_POSITIONS crystal
Li 0.000 0.000 0.000
Li 0.000 0.500 0.500
Li 0.500 0.000 0.500
Li 0.500 0.500 0.000
La 0.250 0.250 0.250
La 0.250 0.750 0.750
La 0.750 0.250 0.750
La 0.750 0.750 0.250
Ce 0.250 0.250 0.750
Ce 0.250 0.750 0.250
Ce 0.750 0.250 0.250
Ce 0.750 0.750 0.750
Os 0.000 0.000 0.500
Os 0.000 0.500 0.000
Os 0.500 0.000 0.000
Os 0.500 0.500 0.500
```

---

Number 1: DFT total energy -7.428 eV/atom. Number 2: DFT total energy -6.029 eV/atom.